# RhBr2O (SCAN, single point on PBEsol structure)
# Uncorrected formation energy: 801.4 meV per atom
# Spin magnetization: 0.348 μB/f.u.
# N(E_F): 15.6 states/eV per cell
data_RhBr2O
_chemical_formula_sum 'Rh4 Br8 O4'
_space_group_name_H-M_alt 'F m -3 m'
_space_group_IT_number 225
_space_group_name_Hall '-F 4 2 3'
_cell_length_a 6.188
_cell_length_b 6.188
_cell_length_c 6.188
_cell_angle_alpha 90.00
_cell_angle_beta 90.00
_cell_angle_gamma 90.00
loop_
_atom_site_label
_atom_site_type_symbol
_atom_site_fract_x
_atom_site_fract_y
_atom_site_fract_z
Rh1 Rh 0.000 0.000 0.000
Br1 Br 0.250 0.250 0.250
O1 O 0.000 0.000 0.500